# MgMoO2F | Alexandria | PBE with a Hubbard U | relaxed
# **M_tot**: 0.600 μB/atom
# **Final energy**: -5.61 eV per atom
# **N(E_F)**: 0.50 states/eV per cell
data_MgMoO2F
_space_group_name_H-M_alt 'P 4/m m m'
_space_group_IT_number 123
_space_group_name_Hall '-P 4 2'
_cell_length_a 3.9453
_cell_length_b 3.9453
_cell_length_c 3.6249
_cell_angle_alpha 90.00
_cell_angle_beta 90.00
_cell_angle_gamma 90.00
loop_
_atom_site_label
_atom_site_fract_x
_atom_site_fract_y
_atom_site_fract_z
Mg1 0.0000 0.0000 0.0000
Mo1 0.5000 0.5000 0.5000
O1 0.0000 0.5000 0.0000
F1 0.0000 0.0000 0.5000